This record from Alexandria via LeMat-Bulk describes a relaxed LaAgC crystal. The functional is GGA-PBE.

N(E_F) (states/eV/f.u.): 1.5
ΔH_f (0 K) (eV/atom): 0.25
Crystal system: orthorhombic

```
data_LaAgC
_symmetry_space_group_name_H-M 'A m m 2'
_symmetry_Int_Tables_number 38
_cell_length_a 5.058
_cell_length_b 4.134
_cell_length_c 11.455
_cell_angle_alpha 90.00
_cell_angle_beta 90.00
_cell_angle_gamma 90.00
loop_
_symmetry_equiv_pos_as_xyz
'x,y,z'
'-x,-y,z'
'-x,y,z'
'x,-y,z'
'x,y+1/2,z+1/2'
'-x,-y+1/2,z+1/2'
'-x,y+1/2,z+1/2'
'x,-y+1/2,z+1/2'
loop_
_atom_site_label
_atom_site_type_symbol
_atom_site_fract_x
_atom_site_fract_y
_atom_site_fract_z
_atom_site_occupancy
La1 La 0.000 0.000 0.000 1
La2 La 0.500 0.000 0.300 1
Ag1 Ag 0.000 0.000 0.738 1
Ag2 Ag 0.500 0.000 0.589 1
C1 C 0.000 0.000 0.355 1
C2 C 0.500 0.000 0.059 1
```

---

This record from Alexandria via LeMat-Bulk describes a relaxed LaAgC crystal. The functional is GGA-PBE.

N(E_F) (states/eV/f.u.): 1.9
ΔH_f (0 K) (eV/atom): 1.54
Crystal system: hexagonal

```
data_LaAgC
_symmetry_space_group_name_H-M 'P 63/m m c'
_symmetry_Int_Tables_number 194
_symmetry_space_group_name_Hall '-P 6c 2c'
_cell_length_a 5.5874
_cell_length_b 5.5874
_cell_length_c 8.9055
_cell_angle_alpha 90.00
_cell_angle_beta 90.00
_cell_angle_gamma 120.00
loop_
_atom_site_label
_atom_site_type_symbol
_atom_site_fract_x
_atom_site_fract_y
_atom_site_fract_z
_atom_site_occupancy
La1 La 0.0000 0.0000 0.2500 1
Ag1 Ag 0.3333 0.6667 0.2500 1
C1 C 0.0000 0.0000 0.0000 1
```

---

This record from Alexandria via LeMat-Bulk describes a relaxed La4Ag2C crystal. The functional is GGA-PBE.

N(E_F) (states/eV/f.u.): 7.2
ΔH_f (0 K) (eV/atom): -0.19
Crystal system: monoclinic

```
data_La4Ag2C
_symmetry_space_group_name_H-M 'C 1 2/m 1'
_symmetry_Int_Tables_number 12
_cell_length_a 13.686
_cell_length_b 3.933
_cell_length_c 8.765
_cell_angle_alpha 90.00
_cell_angle_beta 124.36
_cell_angle_gamma 90.00
loop_
_symmetry_equiv_pos_as_xyz
'x,y,z'
'-x,-y,-z'
'-x,y,-z'
'x,-y,z'
'x+1/2,y+1/2,z'
'-x+1/2,-y+1/2,-z'
'-x+1/2,y+1/2,-z'
'x+1/2,-y+1/2,z'
loop_
_atom_site_label
_atom_site_type_symbol
_atom_site_fract_x
_atom_site_fract_y
_atom_site_fract_z
_atom_site_occupancy
La1 La 0.085 0.000 0.342 1
La2 La 0.149 0.500 0.060 1
Ag1 Ag 0.124 0.500 0.665 1
C1 C 0.000 0.000 0.000 1
```

---

This record from Alexandria via LeMat-Bulk describes a relaxed La6Ag2C crystal. The functional is GGA-PBE.

N(E_F) (states/eV/f.u.): 10.6
ΔH_f (0 K) (eV/atom): -0.15
Crystal system: monoclinic

```
data_La6Ag2C
_symmetry_space_group_name_H-M 'P 1 21/c 1'
_symmetry_Int_Tables_number 14
_cell_length_a 6.873
_cell_length_b 7.607
_cell_length_c 12.592
_cell_angle_alpha 90.00
_cell_angle_beta 122.67
_cell_angle_gamma 90.00
loop_
_symmetry_equiv_pos_as_xyz
'x,y,z'
'-x,-y,-z'
'-x,y+1/2,-z+1/2'
'x,-y+1/2,z+1/2'
loop_
_atom_site_label
_atom_site_type_symbol
_atom_site_fract_x
_atom_site_fract_y
_atom_site_fract_z
_atom_site_occupancy
La1 La 0.122 0.024 0.234 1
La2 La 0.216 0.704 0.046 1
La3 La 0.361 0.176 0.049 1
Ag1 Ag 0.307 0.092 0.747 1
C1 C 0.000 0.000 0.000 1
```

---

This record from Alexandria via LeMat-Bulk describes a relaxed LaAgC crystal. The functional is GGA-PBE.

N(E_F) (states/eV/f.u.): 1.5
ΔH_f (0 K) (eV/atom): -0.18
Crystal system: triclinic

```
data_LaAgC
_symmetry_space_group_name_H-M 'P -1'
_symmetry_Int_Tables_number 2
_cell_length_a 4.088
_cell_length_b 4.714
_cell_length_c 7.471
_cell_angle_alpha 77.71
_cell_angle_beta 89.94
_cell_angle_gamma 64.33
loop_
_symmetry_equiv_pos_as_xyz
'x,y,z'
'-x,-y,-z'
loop_
_atom_site_label
_atom_site_type_symbol
_atom_site_fract_x
_atom_site_fract_y
_atom_site_fract_z
_atom_site_occupancy
La1 La 0.111 0.277 0.314 1
Ag1 Ag 0.356 0.787 0.046 1
C1 C 0.421 0.659 0.458 1
```

---

This record from Alexandria via LeMat-Bulk describes a relaxed La2AgC2 crystal. The functional is GGA-PBE.

N(E_F) (states/eV/f.u.): 2.8
ΔH_f (0 K) (eV/atom): -0.22
Crystal system: monoclinic

```
data_La2AgC2
_symmetry_space_group_name_H-M 'C 1 2/c 1'
_symmetry_Int_Tables_number 15
_cell_length_a 15.372
_cell_length_b 4.236
_cell_length_c 7.064
_cell_angle_alpha 90.00
_cell_angle_beta 103.85
_cell_angle_gamma 90.00
loop_
_symmetry_equiv_pos_as_xyz
'x,y,z'
'-x,-y,-z'
'-x,y,-z+1/2'
'x,-y,z+1/2'
'x+1/2,y+1/2,z'
'-x+1/2,-y+1/2,-z'
'-x+1/2,y+1/2,-z+1/2'
'x+1/2,-y+1/2,z+1/2'
loop_
_atom_site_label
_atom_site_type_symbol
_atom_site_fract_x
_atom_site_fract_y
_atom_site_fract_z
_atom_site_occupancy
La1 La 0.151 0.168 0.132 1
Ag1 Ag 0.000 0.390 0.750 1
C1 C 0.226 0.371 0.525 1
```